Entry 1:
A relaxed structure of AlCu2Ni. Source: Alexandria, functional GGA-PBE.

Cell: 2.6247 2.6247 8.5855 Å, 90.00 90.00 120.00°
Fractional coordinates of all 4 atoms:
Al1 0.0000 0.0000 0.0000
Cu1 0.3333 0.6667 0.7545
Cu2 0.6667 0.3333 0.2431
Ni1 0.6667 0.3333 0.5198

The calculation puts the density of states at the Fermi level at 0.829 states/eV/atom. Its magnetization is 0.42 μB per formula unit. As for the space-group type: P3m1, No. 156. Its formation energy from the elements is 90 meV/atom.

Entry 2:
A relaxed structure of Re2NiW. Source: Alexandria, functional GGA-PBE.

Cell: 2.7002 2.7002 7.8999 Å, 90.00 90.00 90.00°
Fractional coordinates of all 4 atoms:
Re1 0.0000 0.0000 0.2312
Re2 0.0000 0.0000 0.7688
Ni1 0.5000 0.5000 0.0000
W1 0.5000 0.5000 0.5000

The calculation puts the density of states at the Fermi level at 1.663 states/eV/atom. Its magnetization is 0.00 μB per formula unit. As for the space-group type: P4/mmm, No. 123. As for the offset from the most stable computed form: 0.814 eV/f.u. Its formation energy from the elements is 215 meV/atom.

Entry 3:
A relaxed structure of Rb2PPb. Source: Alexandria, functional GGA-PBE.

Cell: 5.9044 5.9044 5.9044 Å, 60.00 60.00 60.00°
Fractional coordinates of all 4 atoms:
Rb1 0.2500 0.2500 0.2500
Rb2 0.7500 0.7500 0.7500
P1 0.0000 0.0000 0.0000
Pb1 0.5000 0.5000 0.5000

The calculation puts the density of states at the Fermi level at 0.768 states/eV/atom. Its magnetization is 0.72 μB per formula unit. As for the space-group type: Fm-3m, No. 225. As for the offset from the most stable computed form: 1.064 eV/f.u. Its formation energy from the elements is 290 meV/atom.